[1]
The following is a PBE calculation of a geometry-optimized YZr2Ta structure, from Alexandria.

Lattice parameters (Å, degrees): 10.7670 10.7670 10.7670 17.08 17.08 17.08
Last column: nearest neighbours and their distance in Å.
Sites, in units of the cell vectors:
Y 0.0000 0.0000 0.0000  6 Y 3.20, 3 Ta 3.20, 3 Zr 3.48
Zr 0.5085 0.5085 0.5085  3 Ta 3.04, 9 Zr 3.20
Zr 0.7595 0.7595 0.7595  9 Zr 3.20, 3 Y 3.48
Ta 0.2511 0.2511 0.2511  3 Zr 3.04, 6 Ta 3.20, 3 Y 3.20

Summary:
ρ ... 7.997 Mg/m³
V ... 23.48 A^3/atom
Energy of formation from the pure elements ... 272 meV/atom
Offset from the most stable computed form ... 118.3 meV per atom
Space-group type ... R3m, No. 160


[2]
The following is a PBE calculation of a geometry-optimized YZr2Ta structure, from Alexandria.

Lattice parameters (Å, degrees): 5.5574 5.5574 3.1875 90.00 90.00 109.31
Last column: nearest neighbours and their distance in Å.
Sites, in units of the cell vectors:
Y 0.0000 0.0000 0.0000  2 Y 3.19, 8 Zr 3.20, 2 Ta 3.21
Zr 0.0000 0.5000 0.5000  4 Zr 3.19-3.21, 4 Ta 3.20, 4 Y 3.20
Zr 0.5000 0.0000 0.5000  4 Zr 3.19-3.21, 4 Ta 3.20, 4 Y 3.20
Ta 0.5000 0.5000 0.0000  2 Ta 3.19, 8 Zr 3.20, 2 Y 3.21

Summary:
ρ ... 8.084 Mg/m³
V ... 23.23 A^3/atom
Energy of formation from the pure elements ... 288 meV/atom
Offset from the most stable computed form ... 134.8 meV per atom
Space-group type ... Cmmm, No. 65


[3]
The following is a PBE calculation of a geometry-optimized Y2Zr2Ta structure, from Alexandria.

Lattice parameters (Å, degrees): 7.2345 7.2345 5.0028 90.00 90.00 90.00
Last column: nearest neighbours and their distance in Å.
Sites, in units of the cell vectors:
Y 0.1687 0.3313 0.0000  6 Zr 3.15-3.38, 1 Y 3.45
Y 0.3313 0.8313 0.0000  6 Zr 3.15-3.38, 1 Y 3.45
Y 0.6687 0.1687 0.0000  6 Zr 3.15-3.38, 1 Y 3.45
Y 0.8313 0.6687 0.0000  6 Zr 3.15-3.38, 1 Y 3.45
Zr 0.1439 0.6439 0.5000  2 Ta 2.78, 1 Zr 2.94
Zr 0.3561 0.1439 0.5000  2 Ta 2.78, 1 Zr 2.94
Zr 0.6439 0.8561 0.5000  2 Ta 2.78, 1 Zr 2.94
Zr 0.8561 0.3561 0.5000  2 Ta 2.78, 1 Zr 2.94
Ta 0.0000 0.0000 0.5000  4 Zr 2.78
Ta 0.5000 0.5000 0.5000  4 Zr 2.78

Summary:
ρ ... 6.865 Mg/m³
V ... 26.18 A^3/atom
Energy of formation from the pure elements ... 377 meV/atom
Space-group type ... P4/mbm, No. 127


[4]
The following is a PBE calculation of a geometry-optimized YZr2Ta structure, from Alexandria.

Lattice parameters (Å, degrees): 5.3210 5.3210 5.3210 127.31 127.31 77.74
Last column: nearest neighbours and their distance in Å.
Sites, in units of the cell vectors:
Y 0.0000 0.0000 0.0000  8 Zr 3.14, 4 Ta 3.34
Zr 0.2500 0.7500 0.5000  4 Ta 3.14, 4 Y 3.14, 4 Zr 3.34
Zr 0.7500 0.2500 0.5000  4 Ta 3.14, 4 Y 3.14, 4 Zr 3.34
Ta 0.5000 0.5000 0.0000  8 Zr 3.14, 4 Y 3.34

Summary:
ρ ... 8.130 Mg/m³
V ... 23.10 A^3/atom
Energy of formation from the pure elements ... 274 meV/atom
Offset from the most stable computed form ... 120.0 meV per atom
Space-group type ... I4/mmm, No. 139


[5]
The following is a PBE calculation of a geometry-optimized YZr2Ta structure, from Alexandria.

Lattice parameters (Å, degrees): 3.2027 4.5224 6.5547 90.00 90.00 90.00
Last column: nearest neighbours and their distance in Å.
Sites, in units of the cell vectors:
Y 0.0000 0.0000 0.0000  6 Zr 3.14-3.42, 2 Y 3.20, 4 Ta 3.29
Zr 0.0000 0.0000 0.5217  4 Ta 3.09, 2 Y 3.14-3.42, 6 Zr 3.18-3.20
Zr 0.5000 0.5000 0.2839  1 Ta 2.92, 6 Zr 3.18-3.20
Ta 0.5000 0.5000 0.7300  5 Zr 2.92-3.09, 2 Ta 3.20

Summary:
ρ ... 7.911 Mg/m³
V ... 23.73 A^3/atom
Energy of formation from the pure elements ... 262 meV/atom
Offset from the most stable computed form ... 108.6 meV per atom
Space-group type ... Pmm2, No. 25


[6]
The following is a PBE calculation of a geometry-optimized YZr2Ta structure, from Alexandria.

Lattice parameters (Å, degrees): 5.4255 5.4255 5.8363 97.19 97.19 33.50
Last column: nearest neighbours and their distance in Å.
Sites, in units of the cell vectors:
Y 0.0000 0.0000 0.0000  6 Zr 3.12-3.36, 2 Y 3.13, 4 Ta 3.31
Zr 0.2377 0.2377 0.7239  3 Ta 3.07-3.17, 4 Zr 3.08-3.13, 3 Y 3.12-3.36
Zr 0.7623 0.7623 0.2761  3 Ta 3.07-3.17, 4 Zr 3.08-3.13, 3 Y 3.12-3.36
Ta 0.5000 0.5000 0.5000  6 Zr 3.07-3.17, 2 Ta 3.13, 4 Y 3.31

Summary:
ρ ... 7.990 Mg/m³
V ... 23.50 A^3/atom
Energy of formation from the pure elements ... 237 meV/atom
Offset from the most stable computed form ... 83.3 meV per atom
Space-group type ... C2/m, No. 12


[7]
The following is a PBE calculation of a geometry-optimized YZrTa2 structure, from Alexandria.

Lattice parameters (Å, degrees): 2.9929 4.8001 6.1436 90.00 90.00 90.00
Last column: nearest neighbours and their distance in Å.
Sites, in units of the cell vectors:
Y 0.0000 0.0000 0.0000  2 Y 2.99, 2 Zr 3.07, 8 Ta 3.29
Zr 0.0000 0.0000 0.5000  2 Zr 2.99, 2 Y 3.07, 8 Ta 3.15
Ta 0.5000 0.5000 0.2729  3 Ta 2.79-2.99
Ta 0.5000 0.5000 0.7271  3 Ta 2.79-2.99

Summary:
ρ ... 10.198 Mg/m³
V ... 22.07 A^3/atom
Energy of formation from the pure elements ... 376 meV/atom
Offset from the most stable computed form ... 203.9 meV per atom
Space-group type ... Pmmm, No. 47


[8]
The following is a PBE calculation of a geometry-optimized YZrTa2 structure, from Alexandria.

Lattice parameters (Å, degrees): 3.6505 3.6505 6.8541 90.00 90.00 90.00
Last column: nearest neighbours and their distance in Å.
Sites, in units of the cell vectors:
Y 0.0000 0.0000 0.0000  8 Ta 3.30, 2 Zr 3.43, 4 Y 3.65
Zr 0.0000 0.0000 0.5000  8 Ta 2.92
Ta 0.5000 0.5000 0.3004  1 Ta 2.74, 4 Zr 2.92
Ta 0.5000 0.5000 0.6996  1 Ta 2.74, 4 Zr 2.92

Summary:
ρ ... 9.854 Mg/m³
V ... 22.84 A^3/atom
Energy of formation from the pure elements ... 310 meV/atom
Offset from the most stable computed form ... 138.0 meV per atom
Space-group type ... P4/mmm, No. 123


[9]
The following is a PBE calculation of a geometry-optimized YZrTa2 structure, from Alexandria.

Lattice parameters (Å, degrees): 3.4705 3.4705 7.5081 90.00 90.00 90.00
Last column: nearest neighbours and their distance in Å.
Sites, in units of the cell vectors:
Y 0.0000 0.0000 0.0000  5 Ta 3.22-3.45, 4 Zr 3.42, 4 Y 3.47
Zr 0.5000 0.5000 0.3167  5 Ta 2.98-3.04
Ta 0.0000 0.0000 0.5411  4 Ta 2.80, 4 Zr 2.98
Ta 0.5000 0.5000 0.7220  4 Ta 2.80, 1 Zr 3.04

Summary:
ρ ... 9.953 Mg/m³
V ... 22.61 A^3/atom
Energy of formation from the pure elements ... 172 meV/atom
Offset from the most stable computed form ... 0.0 meV per atom
Space-group type ... P4mm, No. 99


[10]
The following is a PBE calculation of a geometry-optimized YZrTa2 structure, from Alexandria.

Lattice parameters (Å, degrees): 5.7718 5.7718 2.9409 90.00 90.00 117.40
Last column: nearest neighbours and their distance in Å.
Sites, in units of the cell vectors:
Y 0.0000 0.0000 0.0000  2 Y 2.94, 2 Zr 3.00, 8 Ta 3.24
Zr 0.5000 0.5000 0.0000  2 Zr 2.94, 2 Y 3.00, 8 Ta 3.24
Ta 0.0000 0.5000 0.5000  4 Ta 2.94-3.00, 4 Zr 3.24, 4 Y 3.24
Ta 0.5000 0.0000 0.5000  4 Ta 2.94-3.00, 4 Zr 3.24, 4 Y 3.24

Summary:
ρ ... 10.347 Mg/m³
V ... 21.75 A^3/atom
Energy of formation from the pure elements ... 394 meV/atom
Offset from the most stable computed form ... 222.1 meV per atom
Space-group type ... Cmmm, No. 65


[11]
The following is a PBE calculation of a geometry-optimized YZr2Ta structure, from Alexandria.

Lattice parameters (Å, degrees): 5.4486 5.4486 5.8315 96.24 96.24 33.26
Last column: nearest neighbours and their distance in Å.
Sites, in units of the cell vectors:
Y 0.0000 0.0000 0.0000  2 Y 3.12, 7 Zr 3.13-3.45, 3 Ta 3.21-3.25
Zr 0.2347 0.2347 0.7098  2 Ta 3.04, 5 Zr 3.09-3.18, 1 Y 3.13
Zr 0.4872 0.4872 0.4817  5 Zr 3.09-3.18, 3 Ta 3.10-3.12, 4 Y 3.23-3.39
Ta 0.7470 0.7470 0.2653  5 Zr 3.04-3.12, 2 Ta 3.12, 3 Y 3.21-3.25

Summary:
ρ ... 7.962 Mg/m³
V ... 23.58 A^3/atom
Energy of formation from the pure elements ... 264 meV/atom
Offset from the most stable computed form ... 110.7 meV per atom
Space-group type ... Cm, No. 8


[12]
The following is a PBE calculation of a geometry-optimized YZrTa structure, from Alexandria.

Lattice parameters (Å, degrees): 7.1229 6.1106 5.5537 75.10 56.00 48.89
Last column: nearest neighbours and their distance in Å.
Sites, in units of the cell vectors:
Y 0.1700 0.8300 0.1700  4 Ta 3.15, 3 Y 3.20-3.32
Y 0.8300 0.1700 0.8300  4 Ta 3.15, 3 Y 3.20-3.32
Zr 0.3309 0.3309 0.6691  4 Ta 2.91
Zr 0.6691 0.6691 0.3309  4 Ta 2.91
Ta 0.2500 0.2500 0.2500  4 Zr 2.91, 2 Ta 2.95, 4 Y 3.15
Ta 0.7500 0.7500 0.7500  4 Zr 2.91, 2 Ta 2.95, 4 Y 3.15

Summary:
ρ ... 8.069 Mg/m³
V ... 24.77 A^3/atom
Energy of formation from the pure elements ... 300 meV/atom
Offset from the most stable computed form ... 64.9 meV per atom
Space-group type ... Fmmm, No. 69